Record 1
A relaxed LiYbGe2 crystal. Source: Alexandria, functional PBE.

Cell: 3.9067 7.9295 10.5049 Å, 90.00 90.00 90.00°
Each line ends with the local moment (μB).
Atoms (fractional coordinates):
Ge  0.2500  0.2327  0.9393  0.00
Li  0.2500  0.4874  0.3928  0.00
Yb  0.2500  0.1330  0.6363  0.21
Li  0.2500  0.9874  0.1072  0.00
Ge  0.2500  0.1550  0.3162  0.00
Ge  0.7500  0.2673  0.4393  0.00
Li  0.7500  0.0126  0.8928  0.00
Yb  0.7500  0.3670  0.1363  0.21
Ge  0.2500  0.6550  0.1838  0.00
Ge  0.2500  0.7327  0.5607  0.00
Yb  0.2500  0.6330  0.8637  0.21
Yb  0.7500  0.8670  0.3637  0.21
Ge  0.7500  0.8450  0.6838  0.00
Ge  0.7500  0.7673  0.0607  0.00
Li  0.7500  0.5126  0.6072  0.00
Ge  0.7500  0.3450  0.8162  0.00

Computed properties:
The energy of formation comes out at -0.561 eV/atom. The space group is Pnma, No. 62. The size of the total moment is 0.90 μB per cell.

***

Record 2
A relaxed LaIr2SeO crystal. Source: Alexandria, functional PBE.

Cell: 4.6147 4.5058 4.6147 Å, 90.00 90.00 90.00°
Each line ends with the local moment (μB).
Atoms (fractional coordinates):
Se  0.0000  0.0000  0.0000  0.05
Ir  0.5000  0.0000  0.0000  0.51
O  0.0000  0.5000  0.0000  0.00
Ir  0.0000  0.0000  0.5000  0.35
La  0.5000  0.5000  0.5000  0.00

Computed properties:
As for the uncorrected formation energy: -2.6 kcal/mol of atoms. The space group is P4/mmm, No. 123. The size of the total moment is 0.91 μB per cell.

***

Record 3
A relaxed CaCdOs2 crystal. Source: Alexandria, functional PBE.

Cell: 2.8044 2.8044 9.6548 Å, 90.00 90.00 112.42°
Atoms (fractional coordinates):
Cd  0.5000  0.5000  0.7500
Os  0.0000  0.0000  0.5034
Os  0.0000  0.0000  0.9966
Ca  0.5000  0.5000  0.2500

Computed properties:
The energy of formation comes out at 0.764 eV/atom. The space group is Cmmm, No. 65. The size of the total moment is 0.00 μB per cell.